VASP calculation (GGA-PBE) on a geometry-optimized Ni3PbS structure.

Cell lengths 4.2852, 4.2852, 4.2852 Å; angles 90.00, 90.00, 90.00 degrees
Last column: nearest neighbours and their distance in Å.
Space group Pm-3m (No. 221)
Symmetry-distinct sites (fractional):
Ni (0.0000, 0.0000, 0.5000) x3  2 S 2.14
Pb (0.5000, 0.5000, 0.5000) x1  12 Ni 3.03
S (0.0000, 0.0000, 0.0000) x1  6 Ni 2.14

N(E_F) = 0.0 states/eV per cell
Polymorph energy (0 for the lowest one) = 0 meV/atom
Total magnetization = 0.00 μB per cell
ΔE_f (raw) = -27.3 meV per atom